[1]
VASP calculation (PBE) on a relaxed Sr2ErCu2Se4 crystal.

Properties
Raw formation energy   -1254 meV per atom
Calculated volume   210.9 Å³/f.u.
Mass density   6.2 g cm⁻³
Space-group type   C2/m

Cell lengths 7.7664, 7.7664, 7.4730 Å; angles 110.29, 110.29, 30.10 degrees
Fractional positions:
Sr (0.1346, 0.1346, 0.0758)
Sr (0.8654, 0.8654, 0.9242)
Er (0.0000, 0.0000, 0.5000)
Cu (0.3128, 0.3128, 0.5057)
Cu (0.6872, 0.6872, 0.4943)
Se (0.2028, 0.2028, 0.7103)
Se (0.4789, 0.4789, 0.7533)
Se (0.5211, 0.5211, 0.2467)
Se (0.7972, 0.7972, 0.2897)

[2]
VASP calculation (PBE) on a relaxed Er8MgAl5 crystal.

Properties
ΔE_f   -0.134 eV/atom
Calculated volume   367.4 Å³/f.u.
Mass density   6.8 g cm⁻³
Space-group type   I-4

Cell lengths 7.8149, 7.8149, 7.8149 Å; angles 109.61, 109.61, 109.20 degrees
Fractional positions:
Er (0.1286, 0.2161, 0.7628)
Er (0.1506, 0.7545, 0.7618)
Er (0.2455, 0.0073, 0.3961)
Er (0.4533, 0.3658, 0.2372)
Er (0.6113, 0.8494, 0.6039)
Er (0.6342, 0.8714, 0.0875)
Er (0.7839, 0.5467, 0.9125)
Er (0.9927, 0.3887, 0.2382)
Mg (0.7500, 0.2500, 0.5000)
Al (0.0000, 0.0000, 0.0000)
Al (0.2585, 0.6356, 0.1150)
Al (0.3644, 0.4794, 0.6229)
Al (0.5206, 0.1435, 0.8850)
Al (0.8565, 0.7415, 0.3771)